(1)
TbBSe4: optimized geometry, PBE-GGA.

Calculated values
formation energy (no corrections)	-0.5305	eV per atom
space group	I4_1/amd, No. 141
mass density	5.32	Mg/m³

a b c (Å): 7.428 7.428 7.428
angles (deg): 103.44 103.44 122.36
Fractional coordinates of all 12 atoms:
Tb (0.000, 0.000, 0.000)
Tb (0.750, 0.250, 0.500)
B (0.250, 0.750, 0.500)
B (0.500, 0.500, 0.000)
Se (0.241, 0.920, 0.320)
Se (0.600, 0.920, 0.680)
Se (0.670, 0.850, 0.180)
Se (0.509, 0.330, 0.180)
Se (0.670, 0.491, 0.820)
Se (0.080, 0.400, 0.320)
Se (0.150, 0.330, 0.820)
Se (0.080, 0.759, 0.680)

(2)
Sr3TaN3: optimized geometry, PBE-GGA.

Calculated values
formation energy (no corrections)	-0.8229	eV per atom
space group	Cmce, No. 64
mass density	4.93	Mg/m³
energy relative to the lowest polymorph listed for this composition	78.3	meV per atom

a b c (Å): 9.176 8.825 9.466
angles (deg): 90.00 90.00 121.32
Fractional coordinates of all 28 atoms:
Sr (0.697, 0.000, 0.854)
Sr (0.803, 0.000, 0.354)
Sr (0.197, 0.000, 0.646)
Sr (0.303, 0.000, 0.146)
Sr (0.996, 0.653, 0.376)
Sr (0.504, 0.347, 0.876)
Sr (0.843, 0.347, 0.124)
Sr (0.657, 0.653, 0.624)
Sr (0.004, 0.347, 0.624)
Sr (0.496, 0.653, 0.124)
Sr (0.157, 0.653, 0.876)
Sr (0.343, 0.347, 0.376)
Ta (0.402, 0.805, 0.500)
Ta (0.098, 0.195, 0.000)
Ta (0.598, 0.195, 0.500)
Ta (0.902, 0.805, 0.000)
N (0.112, 0.000, 0.897)
N (0.388, 0.000, 0.397)
N (0.612, 0.000, 0.603)
N (0.888, 0.000, 0.103)
N (0.492, 0.681, 0.394)
N (0.008, 0.319, 0.894)
N (0.312, 0.319, 0.106)
N (0.188, 0.681, 0.606)
N (0.508, 0.319, 0.606)
N (0.992, 0.681, 0.106)
N (0.688, 0.681, 0.894)
N (0.812, 0.319, 0.394)

(3)
Er2Zn3CoNi12: optimized geometry, PBE-GGA.

Calculated values
ΔH_f (0 K)	0.12	eV/atom
space group	R-3m, No. 166
mass density	8.23	Mg/m³

a b c (Å): 9.362 9.362 9.362
angles (deg): 36.59 36.59 36.59
Fractional coordinates of all 18 atoms:
Er (0.648, 0.648, 0.648)
Er (0.352, 0.352, 0.352)
Zn (0.500, 0.000, 0.000)
Zn (0.000, 0.500, 0.000)
Zn (0.000, 0.000, 0.500)
Co (0.000, 0.000, 0.000)
Ni (0.420, 0.420, 0.815)
Ni (0.918, 0.918, 0.361)
Ni (0.361, 0.918, 0.918)
Ni (0.815, 0.420, 0.420)
Ni (0.918, 0.361, 0.918)
Ni (0.420, 0.815, 0.420)
Ni (0.580, 0.580, 0.185)
Ni (0.082, 0.082, 0.639)
Ni (0.639, 0.082, 0.082)
Ni (0.185, 0.580, 0.580)
Ni (0.082, 0.639, 0.082)
Ni (0.580, 0.185, 0.580)

(4)
SmGe2Rh3: optimized geometry, PBE-GGA.

Calculated values
ΔH_f (0 K)	-0.80	eV/atom
space group	C2/m, No. 12
mass density	9.63	Mg/m³

a b c (Å): 4.055 8.456 9.862
angles (deg): 107.22 90.00 103.87
Fractional coordinates of all 18 atoms:
Sm (0.163, 0.325, 0.703)
Sm (0.837, 0.675, 0.297)
Sm (0.000, 0.000, 0.000)
Ge (0.194, 0.388, 0.127)
Ge (0.806, 0.612, 0.873)
Ge (0.462, 0.925, 0.221)
Ge (0.538, 0.075, 0.779)
Ge (0.361, 0.723, 0.547)
Ge (0.639, 0.277, 0.453)
Rh (0.041, 0.082, 0.332)
Rh (0.959, 0.918, 0.668)
Rh (0.216, 0.431, 0.392)
Rh (0.784, 0.569, 0.608)
Rh (0.620, 0.240, 0.198)
Rh (0.380, 0.760, 0.802)
Rh (0.500, 0.000, 0.500)
Rh (0.321, 0.642, 0.040)
Rh (0.679, 0.358, 0.960)

Question: Among the records above, which one has the highest mass density?
Answer: SmGe2Rh3